(1)
A plane-wave DFT calculation with PBE-GGA was carried out for crystalline ThNpP2 at its relaxed geometry.

Properties
As for the space group: R3m, No. 160. The calculation puts the formation energy at -1.02 eV/atom.

a b c (Å): 3.944 3.944 7.484
angles (deg): 74.72 74.72 60.00
Each line ends with the local moment (μB).
Fractional coordinates of all 4 atoms:
Th: 0.670 0.670 0.991  0.04
Np: 0.497 0.497 0.510  3.73
P: 0.086 0.086 0.743  -0.07
P: 0.248 0.248 0.256  -0.07

(2)
A plane-wave DFT calculation with PBE-GGA was carried out for crystalline Ce2NbWN6 at its relaxed geometry.

Properties
As for the space group: P2_1/c, No. 14. Its uncorrected formation energy is -10.95 eV per formula unit.

a b c (Å): 5.573 5.714 7.943
angles (deg): 90.00 90.06 90.00
Fractional coordinates of all 20 atoms:
Ce: 0.007 0.944 0.250
Ce: 0.507 0.556 0.750
Ce: 0.993 0.056 0.750
Ce: 0.493 0.444 0.250
Nb: 0.500 0.000 0.000
Nb: 0.000 0.500 0.500
W: 0.500 0.000 0.500
W: 0.000 0.500 0.000
N: 0.300 0.693 0.048
N: 0.800 0.807 0.548
N: 0.700 0.307 0.952
N: 0.200 0.193 0.452
N: 0.309 0.701 0.451
N: 0.809 0.799 0.951
N: 0.691 0.299 0.549
N: 0.191 0.201 0.049
N: 0.908 0.526 0.246
N: 0.408 0.974 0.746
N: 0.092 0.474 0.754
N: 0.592 0.026 0.254

(3)
A plane-wave DFT calculation with PBE-GGA was carried out for crystalline Dy3Tm2Se6 at its relaxed geometry.

Properties
As for the space group: C2/m, No. 12. Its uncorrected formation energy is -20.24 eV per formula unit.

a b c (Å): 7.000 6.977 6.973
angles (deg): 80.36 70.50 59.89
Fractional coordinates of all 11 atoms:
Dy: 0.000 0.000 0.000
Dy: 0.335 0.330 0.000
Dy: 0.665 0.670 0.000
Tm: 0.165 0.670 0.500
Tm: 0.835 0.330 0.500
Se: 0.419 0.670 0.743
Se: 0.748 0.000 0.740
Se: 0.089 0.330 0.743
Se: 0.252 0.000 0.260
Se: 0.581 0.330 0.257
Se: 0.911 0.670 0.257